Computed, not measured: a geometry-optimized YAg2W structure at the GGA-PBE level of DFT.

SG ... F-43m, No. 216
Calculated formation energy ... 62 kJ per mole of atoms

Lattice parameters (Å, degrees): 4.8623 4.8623 4.8623 60.00 60.00 60.00
Last column: nearest neighbours and their distance in Å.
Atoms (fractional coordinates):
1 Ag 0.0000 0.0000 0.0000  4 Ag 2.98, 4 Y 2.98
2 Ag 0.2500 0.2500 0.2500  4 W 2.98, 4 Ag 2.98
3 W 0.5000 0.5000 0.5000  4 Ag 2.98, 4 Y 2.98
4 Y 0.7500 0.7500 0.7500  4 Ag 2.98, 4 W 2.98


Computed, not measured: a geometry-optimized AlAuCl structure at the GGA-PBE level of DFT.

Raw formation energy ... -0.276 eV per atom
SG ... Fmm2, No. 42

Lattice parameters (Å, degrees): 7.9622 7.5642 3.4094 83.94 70.86 25.20
Last column: nearest neighbours and their distance in Å.
Atoms (fractional coordinates):
1 Au 0.6217 0.6217 0.3783  2 Al 2.45
2 Al 0.9987 0.9987 0.0013  2 Cl 2.41, 2 Au 2.45
3 Cl 0.3795 0.3795 0.6205  2 Al 2.41


Taking the records one at a time from the top gives V values of 20.32 24.23 A^3/atom.
Taking the records one at a time from the top gives theoretical density values of 10.0 5.9 g cm⁻³.
Taking the records one at a time from the top gives ΔE to the lowest computed polymorph values of 6.64 4.56 kcal/mol of atoms.